[1]
Computed, not measured: a relaxed TmPaSeN2 crystal at the PBE level of DFT.

Formation energy (no corrections), meV per atom: -1795
Calculated volume, Å³/atom: 18.23
Energy, eV per atom: -8.62
D(E_F), states/eV/atom: 0.000

Cell lengths 6.637, 6.637, 6.637 Å; angles 145.97, 145.97, 48.89 degrees
Atoms (fractional coordinates):
Tm1 0.000 0.000 0.000
Pa1 0.322 0.322 0.000
Se1 0.661 0.661 0.000
N1 0.405 0.905 0.500
N2 0.905 0.405 0.500

---

[2]
Computed, not measured: a relaxed PrYSeS crystal at the PBE level of DFT.

Formation energy (no corrections), meV per atom: -1923
Calculated volume, Å³/atom: 24.34
Energy, eV per atom: -6.64
D(E_F), states/eV/atom: 0.314

Cell lengths 7.192, 7.192, 7.192 Å; angles 32.85, 32.85, 32.85 degrees
Atoms (fractional coordinates):
Pr1 0.000 0.000 0.000
Y1 0.516 0.516 0.516
Se1 0.763 0.763 0.763
S1 0.252 0.252 0.252

---

[3]
Computed, not measured: a relaxed Rb2AsIrBr6 crystal at the PBE level of DFT.

Formation energy (no corrections), meV per atom: -688
Calculated volume, Å³/atom: 30.67
Energy, eV per atom: -3.24
D(E_F), states/eV/atom: 0.381

Cell lengths 7.576, 7.576, 7.576 Å; angles 120.17, 120.17, 89.71 degrees
Atoms (fractional coordinates):
Rb1 0.250 0.750 0.500
Rb2 0.750 0.250 0.500
As1 0.000 0.000 0.000
Ir1 0.500 0.500 0.000
Br1 0.259 0.259 0.000
Br2 0.259 0.259 0.518
Br3 0.259 0.741 0.000
Br4 0.741 0.259 0.000
Br5 0.741 0.741 0.000
Br6 0.741 0.741 0.482

---

[4]
Computed, not measured: a relaxed Li2BiTe2 crystal at the PBE level of DFT.

Formation energy (no corrections), meV per atom: -518
Calculated volume, Å³/atom: 26.90
Energy, eV per atom: -3.32
D(E_F), states/eV/atom: 0.236

Cell lengths 8.362, 8.362, 3.847 Å; angles 90.00, 90.00, 90.00 degrees
Atoms (fractional coordinates):
Li1 0.133 0.367 0.000
Li2 0.367 0.867 0.000
Li3 0.633 0.133 0.000
Li4 0.867 0.633 0.000
Bi1 0.000 0.000 0.500
Bi2 0.500 0.500 0.500
Te1 0.169 0.669 0.500
Te2 0.331 0.169 0.500
Te3 0.669 0.831 0.500
Te4 0.831 0.331 0.500

---

[5]
Computed, not measured: a relaxed NaMnP3 crystal at the PBE level of DFT.

Formation energy, meV/atom: 2015
Calculated volume, Å³/atom: 20.81
Energy, eV per atom: -3.33
D(E_F), states/eV/atom: 1.920

Cell lengths 4.704, 4.704, 4.704 Å; angles 90.00, 90.00, 90.00 degrees
Atoms (fractional coordinates):
Na1 0.000 0.000 0.000
Mn1 0.500 0.500 0.500
P1 0.000 0.000 0.500
P2 0.000 0.500 0.000
P3 0.500 0.000 0.000

---

[6]
Computed, not measured: a relaxed Rh3W2 crystal at the PBE level of DFT.

Formation energy, meV/atom: -59
Calculated volume, Å³/atom: 15.05
Energy, eV per atom: -9.65
D(E_F), states/eV/atom: 0.772

Cell lengths 7.083, 5.279, 8.154 Å; angles 59.12, 39.76, 81.11 degrees
Atoms (fractional coordinates):
Rh1 0.000 0.000 0.000
Rh2 0.250 0.250 0.250
Rh3 0.372 0.665 0.421
Rh4 0.665 0.372 0.542
Rh5 0.708 0.829 0.585
Rh6 0.829 0.708 0.878
W1 0.127 0.460 0.975
W2 0.275 0.811 0.123
W3 0.460 0.127 0.439
W4 0.811 0.275 0.790